No. 1
LiCa3N2: relaxed, PBE.

POSCAR file:
```
LiCa3N2
1.0
0.557 2.680 2.314
5.558 -3.440 5.420
6.653 5.382 -5.058
N Ca Li
4 6 2
direct
0.123 0.657 0.096 N
0.369 0.902 0.360 N
0.877 0.343 0.904 N
0.631 0.098 0.640 N
0.716 0.631 0.938 Ca
0.170 0.163 0.497 Ca
0.936 0.925 0.203 Ca
0.284 0.369 0.062 Ca
0.830 0.837 0.503 Ca
0.064 0.075 0.797 Ca
0.451 0.324 0.773 Li
0.549 0.676 0.227 Li
```

Properties
Fermi-level density of states, states/eV per cell: 2.7
Crystal system: monoclinic
Formation energy without anion corrections, eV/atom: -0.62
Space group: No. 12

=====

No. 2
YIn2Cu: relaxed, PBE.

POSCAR file:
```
YIn2Cu
1.0
-1.311 -4.842 0.194
2.317 -0.482 4.427
-3.501 3.540 -0.646
In Cu Y
2 1 1
direct
0.000 0.000 0.000 In
0.500 0.500 0.000 In
0.750 0.250 0.500 Cu
0.250 0.750 0.500 Y
```

Properties
Fermi-level density of states, states/eV per cell: 1.5
Crystal system: tetragonal
Energy relative to the elements, eV/atom: -0.132
Space group: No. 139

=====

No. 3
Er3CoAu: relaxed, PBE.

POSCAR file:
```
Er3CoAu
1.0
-3.983 -3.400 2.625
1.789 -2.656 4.905
-3.189 3.592 6.901
Er Co Au
6 2 2
direct
0.317 0.317 0.861 Er
0.707 0.707 0.670 Er
0.981 0.981 0.219 Er
0.019 0.019 0.781 Er
0.683 0.683 0.139 Er
0.293 0.293 0.330 Er
0.315 0.685 0.000 Co
0.685 0.315 0.000 Co
0.272 0.728 0.500 Au
0.728 0.272 0.500 Au
```

Properties
Fermi-level density of states, states/eV per cell: 8.3
Crystal system: monoclinic
Energy relative to the elements, eV/atom: -0.433
Space group: No. 12

=====

No. 4
RbSnTeN2: relaxed, PBE.

POSCAR file:
```
RbSnTeN2
1.0
-1.836 -4.591 1.026
4.650 -1.604 1.143
-1.013 1.931 6.828
N Te Rb Sn
2 1 1 1
direct
0.500 0.000 0.000 N
0.000 0.500 0.000 N
0.000 0.000 0.500 Te
0.000 0.000 0.000 Rb
0.500 0.500 0.500 Sn
```

Properties
Fermi-level density of states, states/eV per cell: 3.0
Crystal system: tetragonal
Formation energy without anion corrections, eV/atom: 1.92
Space group: No. 123

=====

No. 5
CsCaI3: relaxed, PBE.

POSCAR file:
```
CsCaI3
1.0
-4.694 0.234 -0.652
1.287 -3.116 -10.379
-1.550 -17.232 4.981
Cs I Ca
4 12 4
direct
0.750 0.561 0.825 Cs
0.750 0.061 0.675 Cs
0.250 0.939 0.325 Cs
0.250 0.439 0.175 Cs
0.750 0.722 0.210 I
0.750 0.222 0.290 I
0.250 0.778 0.710 I
0.250 0.523 0.399 I
0.750 0.828 0.495 I
0.250 0.278 0.790 I
0.250 0.023 0.101 I
0.750 0.328 0.005 I
0.250 0.172 0.505 I
0.750 0.477 0.601 I
0.750 0.977 0.899 I
0.250 0.672 0.995 I
0.250 0.662 0.555 Ca
0.250 0.162 0.945 Ca
0.750 0.338 0.445 Ca
0.750 0.838 0.055 Ca
```

Properties
Fermi-level density of states, states/eV per cell: 0.0
Crystal system: orthorhombic
Formation energy without anion corrections, eV/atom: -1.61
Space group: No. 62

=====

No. 6
SrAcCuRh: relaxed, PBE.

POSCAR file:
```
SrAcCuRh
1.0
-3.689 -1.756 1.066
1.929 -3.822 0.381
2.966 2.018 5.230
Cu Ac Sr Rh
1 1 1 1
direct
0.563 0.500 0.127 Cu
0.868 0.500 0.736 Ac
0.143 0.000 0.285 Sr
0.426 0.000 0.852 Rh
```

Properties
Fermi-level density of states, states/eV per cell: 2.4
Crystal system: orthorhombic
Energy relative to the elements, eV/atom: -0.356
Space group: No. 38

=====

No. 7
Li3URh2Se6: relaxed, PBE.

POSCAR file:
```
Li3URh2Se6
1.0
-3.300 -5.339 1.381
1.260 1.487 -6.124
6.294 -2.117 1.898
Se Rh U Li
6 2 1 3
direct
0.441 0.078 0.235 Se
0.078 0.441 0.235 Se
0.285 0.285 0.764 Se
0.559 0.922 0.765 Se
0.715 0.715 0.236 Se
0.922 0.559 0.765 Se
0.667 0.333 0.000 Rh
0.333 0.667 0.000 Rh
0.000 0.000 0.000 U
0.500 0.500 0.500 Li
0.838 0.162 0.500 Li
0.162 0.838 0.500 Li
```

Properties
Fermi-level density of states, states/eV per cell: 6.1
Crystal system: monoclinic
Formation energy without anion corrections, eV/atom: -0.89
Space group: No. 12

=====

Across the entries above, spin magnetization takes the values 0.0000 0.0000 0.0000 1.0001 0.0000 0.0000 0.2014 μB per atom, respectively.